Here is a relaxed InTe2Pt crystal from the Alexandria database. Energies are from PBEsol.

Properties
Formation energy (no corrections) (eV per atom): -0.03

Unit cell a=3.593 b=4.407 c=12.131 alpha=90.00 beta=90.00 gamma=90.00
Space group Imm2 (No. 44)
One atom of each set of equivalent atoms:
In 0.000 0.000 0.000 [2 per cell]
Te 0.000 0.000 0.626 [2 per cell]
Te 0.000 0.500 0.823 [2 per cell]
Pt 0.000 0.500 0.303 [2 per cell]

***

Here is a relaxed NaH4AuBr4O2 crystal from the Alexandria database. Energies are from PBEsol.

Properties
Total energy (eV per formula unit): -46.43

Unit cell a=12.925 b=7.177 c=9.341 alpha=90.00 beta=90.00 gamma=90.00
Space group Pnma (No. 62)
One atom of each set of equivalent atoms:
Na 0.012 0.250 0.059 [4 per cell]
H 0.147 0.033 0.873 [8 per cell]
H 0.176 0.545 0.024 [8 per cell]
Au 0.062 0.250 0.513 [4 per cell]
Br 0.050 0.750 0.278 [4 per cell]
Br 0.091 0.750 0.640 [4 per cell]
Br 0.175 0.250 0.303 [4 per cell]
Br 0.214 0.250 0.671 [4 per cell]
O 0.117 0.001 0.967 [8 per cell]

***

Here is a relaxed YNi2Os crystal from the Alexandria database. Energies are from PBEsol.

Properties
Formation energy from the elements (eV/atom): -0.125

Unit cell a=4.1050 b=4.1050 c=13.6243 alpha=90.00 beta=90.00 gamma=120.00
Space group R-3m (No. 166, hexagonal axes)
One atom of each set of equivalent atoms:
Y 0.0000 0.0000 0.0000 [3 per cell]
Ni 0.0000 0.0000 0.1977 [6 per cell]
Os 0.0000 0.0000 0.5000 [3 per cell]

***

| no. | calculated density (g/cm3) |
| --- | --- |
| 1 | 9.8 |
| 2 | 4.4 |
| 3 | 9.9 |